Li4Mo: relaxed, PBE-GGA.

## Properties
distance to the lowest polymorph of the same formula = 95.5 meV/atom
energy = -2.6012 eV per atom
DFT formation energy = 5.48 eV/f.u.
space-group type = No. 221
ρ = 1.496 Mg/m³

abc: 5.159 5.159 5.159
angles: 90.00 90.00 90.00
Element x y z (fractional)
1 Li 0.000 0.000 0.000
2 Li 0.000 0.500 0.500
3 Li 0.500 0.000 0.500
4 Li 0.500 0.500 0.000
5 Mo 0.500 0.500 0.500